# 1
15
Lattice="-2.9668 -2.0819 2.4687 4.2885 -6.7056 -4.3960 6.6437 0.4597 8.3717" Properties=species:S:1:pos:R:3 comment="Pm3Ir2, optimized geometry, DFT PBE" delta_e_f_ev_per_atom=-0.59 de_polymorph_mev_per_atom=30 sg="C2/m (12)" pbc="T T T"
Ir 7.5364 -4.5866 5.1890
Ir 2.3186 -8.2529 -0.2784
Ir 5.5622 -5.3493 2.1733
Ir 5.6468 -0.0749 6.7228
Ir 0.4290 -3.7412 1.2554
Ir 2.4032 -2.9785 4.2711
Pm 2.5855 -1.8080 1.5824
Pm 5.2810 -2.9119 3.8909
Pm 2.6844 -5.4159 2.5535
Pm -1.4834 -1.0409 1.2344
Pm 5.3799 -6.5197 4.8620
Pm 4.8626 -7.0471 -0.0992
Pm 3.1028 -1.2807 6.5436
Pm 0.6094 -6.0745 -0.4954
Pm 7.3559 -2.2533 6.9398



# 2
12
Lattice="3.9669 0.0000 0.7268 1.6604 6.5077 2.1264 -0.2235 0.3125 12.4086" Properties=species:S:1:pos:R:3 comment="Pm7Ir5, optimized geometry, DFT PBE" delta_e_f_ev_per_atom=-0.59 sg="C2/m (12)" pbc="T T T"
Pm 1.1522 0.9244 4.9002
Pm 3.6063 5.0732 13.8837
Pm 1.7975 1.7469 1.3780
Pm 4.2516 5.8958 10.3616
Pm 2.7019 3.4101 7.6309
Pm 1.2821 4.6246 4.1914
Pm 4.1217 2.1956 11.0704
Ir 4.7579 5.3978 7.5983
Ir 0.6459 1.4223 7.6634
Ir 1.9872 4.1112 11.5315
Ir 0.0000 0.0000 0.0000
Ir 3.4166 2.7090 3.7302



# 3
4
Lattice="4.0602 0.0000 0.0000 0.0000 4.0602 0.0000 -2.0301 -2.0301 7.9074" Properties=species:S:1:pos:R:3 comment="Pm3Ir, optimized geometry, DFT PBE" delta_e_f_ev_per_atom=-0.31 de_polymorph_mev_per_atom=123 sg="I4/mmm (139)" pbc="T T T"
Ir 0.0000 0.0000 0.0000
Pm 0.0000 0.0000 2.7647
Pm 2.0301 2.0301 5.1427
Pm 2.0301 2.0301 0.0000



# 4
4
Lattice="3.7453 0.0000 0.0000 0.0000 5.4673 0.0000 -1.8727 -2.7336 5.5464" Properties=species:S:1:pos:R:3 comment="Pm3Ir, optimized geometry, DFT PBE" delta_e_f_ev_per_atom=-0.35 de_polymorph_mev_per_atom=83 sg="Imm2 (44)" pbc="T T T"
Ir 0.0000 5.1204 0.0000
Pm 1.8727 2.2351 0.0000
Pm 1.8727 -0.4885 2.1760
Pm 0.0000 2.2451 3.3704